Nd5Ho2Sc2 PBE relaxed; distance to the lowest polymorph of the same formula = 0 kJ/mol of formula units; M_tot = 0.00 μB/f.u.; N(E_F) = 14.79 states/eV/f.u.
1.0
-2.559 1.983 -1.260
-8.803 -7.713 0.951
-7.132 -1.764 6.919
Nd Ho Sc
5 2 2
Direct
0.338 0.985 0.340
0.662 0.015 0.660
0.218 0.354 0.210
0.782 0.646 0.790
0.000 0.000 0.000
0.055 0.339 0.552
0.945 0.661 0.448
0.403 0.351 0.842
0.597 0.649 0.158

***

Ca2RhCBr PBE relaxed; M_tot = 0.00 μB/f.u.; ΔE_f (raw) = -0.64 eV/atom; N(E_F) = 1.63 states/eV/f.u.
1.0
-2.727 -2.226 3.912
4.430 -2.139 1.871
0.585 3.123 2.185
Ca Rh C Br
2 1 1 1
Direct
0.000 0.500 0.000
0.500 0.000 0.000
0.000 0.000 0.500
0.000 0.000 0.000
0.500 0.500 0.500

***

LaNd2Bi PBE relaxed; distance to the lowest polymorph of the same formula = 179 kJ/mol of formula units; M_tot = 0.00 μB/f.u.; N(E_F) = 3.35 states/eV/f.u.
1.0
3.638 0.000 0.000
1.819 3.151 0.000
1.819 1.050 12.498
Nd Bi La
2 1 1
Direct
0.086 0.086 0.741
0.914 0.914 0.259
0.000 0.000 0.000
0.500 0.500 0.500

***

What is the formula in the second record?
Ca2RhCBr

***

What is the N(E_F) in the second record?
1.63 states/eV/f.u.

***

Copy entry 1 word for word.
Nd5Ho2Sc2 PBE relaxed; distance to the lowest polymorph of the same formula = 0 kJ/mol of formula units; M_tot = 0.00 μB/f.u.; N(E_F) = 14.79 states/eV/f.u.
1.0
-2.559 1.983 -1.260
-8.803 -7.713 0.951
-7.132 -1.764 6.919
Nd Ho Sc
5 2 2
Direct
0.338 0.985 0.340
0.662 0.015 0.660
0.218 0.354 0.210
0.782 0.646 0.790
0.000 0.000 0.000
0.055 0.339 0.552
0.945 0.661 0.448
0.403 0.351 0.842
0.597 0.649 0.158

***

N(E_F) of number 3 (LaNd2Bi)?
3.35 states/eV/f.u.